Entry 1:
# GdThNiPd PBE relaxed
# * E_form: -0.50 eV per atom
# * magnetization: 7.26 μB per formula unit
data_GdThNiPd
_space_group_name_H-M_alt 'F -4 3 m'
_space_group_IT_number 216
_space_group_name_Hall 'F -4 2 3'
_cell_length_a 7.0739
_cell_length_b 7.0739
_cell_length_c 7.0739
_cell_angle_alpha 90.00
_cell_angle_beta 90.00
_cell_angle_gamma 90.00
loop_
_atom_site_label
_atom_site_fract_x
_atom_site_fract_y
_atom_site_fract_z
Gd1 0.0000 0.0000 0.0000
Th1 0.0000 0.0000 0.5000
Ni1 0.2500 0.2500 0.7500
Pd1 0.2500 0.2500 0.2500

=====

Entry 2:
# GdMgAu4 PBE relaxed
# * E_form: -0.49 eV per atom
# * magnetization: 7.34 μB per formula unit
data_GdMgAu4
_space_group_name_H-M_alt 'F -4 3 m'
_space_group_IT_number 216
_space_group_name_Hall 'F -4 2 3'
_cell_length_a 7.9119
_cell_length_b 7.9119
_cell_length_c 7.9119
_cell_angle_alpha 90.00
_cell_angle_beta 90.00
_cell_angle_gamma 90.00
loop_
_atom_site_label
_atom_site_fract_x
_atom_site_fract_y
_atom_site_fract_z
Gd1 0.0000 0.0000 0.0000
Mg1 0.2500 0.2500 0.2500
Au1 0.1245 0.1245 0.6245

=====

Entry 3:
# GaPtS5 PBE relaxed
# * formation energy (no corrections): -0.05 eV/atom
# * magnetization: 0.00 μB per formula unit
data_GaPtS5
_space_group_name_H-M_alt 'C 1 2/c 1'
_space_group_IT_number 15
_cell_length_a 8.2144
_cell_length_b 7.9636
_cell_length_c 10.4280
_cell_angle_alpha 90.00
_cell_angle_beta 90.89
_cell_angle_gamma 90.00
loop_
_space_group_symop_operation_xyz
'x,y,z'
'-x,-y,-z'
'-x,y,-z+1/2'
'x,-y,z+1/2'
'x+1/2,y+1/2,z'
'-x+1/2,-y+1/2,-z'
'-x+1/2,y+1/2,-z+1/2'
'x+1/2,-y+1/2,z+1/2'
loop_
_atom_site_label
_atom_site_fract_x
_atom_site_fract_y
_atom_site_fract_z
Ga1 0.2500 0.2500 0.0000
Pt1 0.0000 0.1202 0.2500
S1 0.0000 0.4508 0.7500
S2 0.0355 0.1231 0.4726
S3 0.2253 0.3109 0.7823

=====

Entry 4:
# Ac6La3Nd2 PBE relaxed
# * E_form: 0.03 eV per atom
# * magnetization: 0.00 μB per formula unit
data_Ac6La3Nd2
_space_group_name_H-M_alt 'P -1'
_space_group_IT_number 2
_cell_length_a 6.7171
_cell_length_b 8.6473
_cell_length_c 8.6497
_cell_angle_alpha 107.41
_cell_angle_beta 104.83
_cell_angle_gamma 97.31
loop_
_space_group_symop_operation_xyz
'x,y,z'
'-x,-y,-z'
loop_
_atom_site_label
_atom_site_fract_x
_atom_site_fract_y
_atom_site_fract_z
Ac1 0.0520 0.4045 0.1817
Ac2 0.1364 0.2306 0.5478
Ac3 0.3215 0.8673 0.2673
La1 0.4077 0.6825 0.6423
La2 0.5000 0.5000 0.0000
Nd1 0.2309 0.0458 0.9116

=====

Entry 5:
# Zr4PO6 PBE relaxed
# * formation energy (no corrections): -2.71 eV/atom
# * magnetization: 0.00 μB per formula unit
data_Zr4PO6
_space_group_name_H-M_alt 'P 42/n m c'
_space_group_IT_number 137
_cell_length_a 7.7124
_cell_length_b 7.7124
_cell_length_c 5.3794
_cell_angle_alpha 90.00
_cell_angle_beta 90.00
_cell_angle_gamma 90.00
loop_
_space_group_symop_operation_xyz
'x,y,z'
'-x,-y,-z'
'-y+1/2,x,z+1/2'
'y+1/2,-x,-z+1/2'
'-x+1/2,-y+1/2,z'
'x+1/2,y+1/2,-z'
'y,-x+1/2,z+1/2'
'-y,x+1/2,-z+1/2'
'x+1/2,-y,-z'
'-x+1/2,y,z'
'-y,-x,-z+1/2'
'y,x,z+1/2'
'-x,y+1/2,-z'
'x,-y+1/2,z'
'y+1/2,x+1/2,-z+1/2'
'-y+1/2,-x+1/2,z+1/2'
loop_
_atom_site_label
_atom_site_fract_x
_atom_site_fract_y
_atom_site_fract_z
Zr1 0.0198 0.2500 0.0302
P1 0.2500 0.7500 0.2500
O1 0.0434 0.5434 0.7500
O2 0.2500 0.2500 0.3066

=====

Entry 6:
# CaZnHg4 PBE relaxed
# * E_form: -0.20 eV per atom
# * magnetization: 0.00 μB per formula unit
# * energy relative to the lowest polymorph listed for this composition: 0.005 eV/atom
data_CaZnHg4
_space_group_name_H-M_alt 'P 1 21/c 1'
_space_group_IT_number 14
_cell_length_a 6.4806
_cell_length_b 8.8087
_cell_length_c 5.1797
_cell_angle_alpha 90.00
_cell_angle_beta 100.87
_cell_angle_gamma 90.00
loop_
_space_group_symop_operation_xyz
'x,y,z'
'-x,-y,-z'
'-x,y+1/2,-z+1/2'
'x,-y+1/2,z+1/2'
loop_
_atom_site_label
_atom_site_fract_x
_atom_site_fract_y
_atom_site_fract_z
Ca1 0.0000 0.0000 0.0000
Zn1 0.5000 0.0000 0.0000
Hg1 0.2602 0.1696 0.5598
Hg2 0.2613 0.6694 0.0577

=====

Entry 7:
# ThScTe3 PBE relaxed
# * formation energy (no corrections): -1.23 eV/atom
# * magnetization: 0.00 μB per formula unit
# * energy relative to the lowest polymorph listed for this composition: 0.000 eV/atom
data_ThScTe3
_space_group_name_H-M_alt 'C 1 2/m 1'
_space_group_IT_number 12
_cell_length_a 15.7629
_cell_length_b 4.2219
_cell_length_c 9.3654
_cell_angle_alpha 90.00
_cell_angle_beta 93.18
_cell_angle_gamma 90.00
loop_
_space_group_symop_operation_xyz
'x,y,z'
'-x,-y,-z'
'-x,y,-z'
'x,-y,z'
'x+1/2,y+1/2,z'
'-x+1/2,-y+1/2,-z'
'-x+1/2,y+1/2,-z'
'x+1/2,-y+1/2,z'
loop_
_atom_site_label
_atom_site_fract_x
_atom_site_fract_y
_atom_site_fract_z
Th1 0.1073 0.0000 0.0891
Sc1 0.1924 0.5000 0.6330
Te1 0.0424 0.5000 0.8297
Te2 0.1286 0.0000 0.4408
Te3 0.2438 0.0000 0.8381

=====

Entry 8:
# MoH2IrPt PBE relaxed
# * magnetization: 0.94 μB per formula unit
# * E_tot: -5.76 eV per atom
data_MoH2IrPt
_space_group_name_H-M_alt 'P 4/m m m'
_space_group_IT_number 123
_space_group_name_Hall '-P 4 2'
_cell_length_a 3.6559
_cell_length_b 3.6559
_cell_length_c 4.9007
_cell_angle_alpha 90.00
_cell_angle_beta 90.00
_cell_angle_gamma 90.00
loop_
_atom_site_label
_atom_site_fract_x
_atom_site_fract_y
_atom_site_fract_z
Mo1 0.0000 0.0000 0.0000
H1 0.0000 0.5000 0.0000
Ir1 0.0000 0.0000 0.5000
Pt1 0.5000 0.5000 0.5000

=====

Entry 9:
# Ce2Sm3Se4 PBE relaxed
# * formation energy (no corrections): -1.54 eV/atom
# * magnetization: 2.53 μB per formula unit
data_Ce2Sm3Se4
_space_group_name_H-M_alt 'C 1 2/m 1'
_space_group_IT_number 12
_cell_length_a 13.7413
_cell_length_b 4.1208
_cell_length_c 10.1479
_cell_angle_alpha 90.00
_cell_angle_beta 119.18
_cell_angle_gamma 90.00
loop_
_space_group_symop_operation_xyz
'x,y,z'
'-x,-y,-z'
'-x,y,-z'
'x,-y,z'
'x+1/2,y+1/2,z'
'-x+1/2,-y+1/2,-z'
'-x+1/2,y+1/2,-z'
'x+1/2,-y+1/2,z'
loop_
_atom_site_label
_atom_site_fract_x
_atom_site_fract_y
_atom_site_fract_z
Ce1 0.0948 0.0000 0.4054
Sm1 0.0000 0.5000 0.0000
Sm2 0.2042 0.5000 0.7988
Se1 0.1026 0.0000 0.9007
Se2 0.1958 0.5000 0.3028